1.
AlHgAsSe2: relaxed, GGA-PBE.

Energy relative to the lowest polymorph listed for this composition   0.00 eV/f.u.
Formation energy without anion corrections   0.261 eV/atom
Total magnetic moment   0.0 μB per formula unit

Cell and atoms, written as CIF:
```
data_AlHgAsSe2
_symmetry_space_group_name_H-M 'P 4/m m m'
_symmetry_Int_Tables_number 123
_symmetry_space_group_name_Hall '-P 4 2'
_cell_length_a 4.878
_cell_length_b 4.878
_cell_length_c 5.118
_cell_angle_alpha 90.00
_cell_angle_beta 90.00
_cell_angle_gamma 90.00
loop_
_atom_site_label
_atom_site_fract_x
_atom_site_fract_y
_atom_site_fract_z
Al1 0.000 0.000 0.000
Hg1 0.500 0.500 0.500
As1 0.000 0.000 0.500
Se1 0.000 0.500 0.000
```

=====

2.
HoNb2Fe9: relaxed, GGA-PBE.

Formation energy from the elements   -0.117 eV/atom
Total magnetic moment   15.7 μB per formula unit

Cell and atoms, written as CIF:
```
data_HoNb2Fe9
_symmetry_space_group_name_H-M 'R -3 m'
_symmetry_Int_Tables_number 166
_symmetry_space_group_name_Hall '-R 3 2"'
_cell_length_a 4.9079
_cell_length_b 4.9079
_cell_length_c 23.5632
_cell_angle_alpha 90.00
_cell_angle_beta 90.00
_cell_angle_gamma 120.00
loop_
_atom_site_label
_atom_site_fract_x
_atom_site_fract_y
_atom_site_fract_z
Ho1 0.0000 0.0000 0.0000
Nb1 0.0000 0.0000 0.1436
Fe1 0.0000 0.0000 0.3333
Fe2 0.0000 0.0000 0.5000
Fe3 0.0033 0.5017 0.9138
```

=====

3.
TcOs3: relaxed, GGA-PBE.

Energy relative to the lowest polymorph listed for this composition   0.06 eV/f.u.
Formation energy from the elements   -0.060 eV/atom
Total magnetic moment   0.0 μB per formula unit

Cell and atoms, written as CIF:
```
data_TcOs3
_symmetry_space_group_name_H-M 'P m m n'
_symmetry_Int_Tables_number 59
_cell_length_a 4.361
_cell_length_b 5.507
_cell_length_c 4.773
_cell_angle_alpha 90.00
_cell_angle_beta 90.00
_cell_angle_gamma 90.00
loop_
_symmetry_equiv_pos_as_xyz
'x,y,z'
'-x,-y,-z'
'-x+1/2,-y+1/2,z'
'x+1/2,y+1/2,-z'
'x+1/2,-y,-z'
'-x+1/2,y,z'
'-x,y+1/2,-z'
'x,-y+1/2,z'
loop_
_atom_site_label
_atom_site_fract_x
_atom_site_fract_y
_atom_site_fract_z
Tc1 0.250 0.250 0.165
Os1 0.250 0.000 0.667
Os2 0.250 0.750 0.167
```

=====

4.
ScRe2Ag: relaxed, GGA-PBE.

Energy relative to the lowest polymorph listed for this composition   0.83 eV/f.u.
Formation energy from the elements   0.248 eV/atom
Total magnetic moment   0.0 μB per formula unit

Cell and atoms, written as CIF:
```
data_ScRe2Ag
_symmetry_space_group_name_H-M 'C m m 2'
_symmetry_Int_Tables_number 35
_cell_length_a 3.153
_cell_length_b 4.582
_cell_length_c 9.308
_cell_angle_alpha 90.00
_cell_angle_beta 90.00
_cell_angle_gamma 90.00
loop_
_symmetry_equiv_pos_as_xyz
'x,y,z'
'-x,-y,z'
'-x,y,z'
'x,-y,z'
'x+1/2,y+1/2,z'
'-x+1/2,-y+1/2,z'
'-x+1/2,y+1/2,z'
'x+1/2,-y+1/2,z'
loop_
_atom_site_label
_atom_site_fract_x
_atom_site_fract_y
_atom_site_fract_z
Sc1 0.000 0.000 0.000
Re1 0.000 0.000 0.467
Re2 0.000 0.500 0.244
Ag1 0.000 0.500 0.731
```

=====

5.
Cs3HRu: relaxed, GGA-PBE.

Energy relative to the lowest polymorph listed for this composition   0.00 eV/f.u.
Total magnetic moment   2.0 μB per formula unit

Cell and atoms, written as CIF:
```
data_Cs3HRu
_symmetry_space_group_name_H-M 'P m -3 m'
_symmetry_Int_Tables_number 221
_symmetry_space_group_name_Hall '-P 4 2 3'
_cell_length_a 5.938
_cell_length_b 5.938
_cell_length_c 5.938
_cell_angle_alpha 90.00
_cell_angle_beta 90.00
_cell_angle_gamma 90.00
loop_
_atom_site_label
_atom_site_fract_x
_atom_site_fract_y
_atom_site_fract_z
Cs1 0.000 0.000 0.500
H1 0.000 0.000 0.000
Ru1 0.500 0.500 0.500
```

=====

6.
Y2CrSe: relaxed, GGA-PBE.

Formation energy without anion corrections   -0.258 eV/atom
Total magnetic moment   3.5 μB per formula unit

Cell and atoms, written as CIF:
```
data_Y2CrSe
_symmetry_space_group_name_H-M 'R 3 m'
_symmetry_Int_Tables_number 160
_symmetry_space_group_name_Hall 'R 3 -2"'
_cell_length_a 4.1561
_cell_length_b 4.1561
_cell_length_c 20.1035
_cell_angle_alpha 90.00
_cell_angle_beta 90.00
_cell_angle_gamma 120.00
loop_
_atom_site_label
_atom_site_fract_x
_atom_site_fract_y
_atom_site_fract_z
Y1 0.0000 0.0000 0.0000
Y2 0.0000 0.0000 0.1975
Cr1 0.0000 0.0000 0.4205
Se1 0.0000 0.0000 0.7806
```

=====

7.
LaCr4Hg: relaxed, GGA-PBE.

Formation energy from the elements   0.612 eV/atom
Total magnetic moment   1.5 μB per formula unit

Cell and atoms, written as CIF:
```
data_LaCr4Hg
_symmetry_space_group_name_H-M 'F -4 3 m'
_symmetry_Int_Tables_number 216
_symmetry_space_group_name_Hall 'F -4 2 3'
_cell_length_a 7.345
_cell_length_b 7.345
_cell_length_c 7.345
_cell_angle_alpha 90.00
_cell_angle_beta 90.00
_cell_angle_gamma 90.00
loop_
_atom_site_label
_atom_site_fract_x
_atom_site_fract_y
_atom_site_fract_z
La1 0.000 0.000 0.000
Cr1 0.126 0.126 0.626
Hg1 0.250 0.250 0.250
```

=====

8.
Ce2SmY6Tm3: relaxed, GGA-PBE.

Formation energy from the elements   0.057 eV/atom
Total magnetic moment   1.9 μB per formula unit

Cell and atoms, written as CIF:
```
data_Ce2SmY6Tm3
_symmetry_space_group_name_H-M 'C 1 2/m 1'
_symmetry_Int_Tables_number 12
_cell_length_a 6.151
_cell_length_b 10.651
_cell_length_c 11.759
_cell_angle_alpha 90.00
_cell_angle_beta 100.05
_cell_angle_gamma 90.00
loop_
_symmetry_equiv_pos_as_xyz
'x,y,z'
'-x,-y,-z'
'-x,y,-z'
'x,-y,z'
'x+1/2,y+1/2,z'
'-x+1/2,-y+1/2,-z'
'-x+1/2,y+1/2,-z'
'x+1/2,-y+1/2,z'
loop_
_atom_site_label
_atom_site_fract_x
_atom_site_fract_y
_atom_site_fract_z
Ce1 0.000 0.167 0.000
Sm1 0.000 0.500 0.000
Y1 0.248 0.168 0.749
Y2 0.249 0.000 0.251
Tm1 0.000 0.000 0.500
Tm2 0.000 0.334 0.500
```